# GGA-PBE Y2ZnNiIr, relaxed
data_Y2ZnNiIr
_chemical_formula_sum 'Y4 Zn2 Ni2 Ir2'
_cell_length_a 4.180
_cell_length_b 8.266
_cell_length_c 5.620
_cell_angle_alpha 90.00
_cell_angle_beta 90.00
_cell_angle_gamma 90.00
_space_group_name_H-M_alt 'I m m 2'
_space_group_IT_number 44
loop_
_space_group_symop_operation_xyz
'x,y,z'
'-x,-y,z'
'-x,y,z'
'x,-y,z'
'x+1/2,y+1/2,z+1/2'
'-x+1/2,-y+1/2,z+1/2'
'-x+1/2,y+1/2,z+1/2'
'x+1/2,-y+1/2,z+1/2'
loop_
_atom_site_label
_atom_site_type_symbol
_atom_site_fract_x
_atom_site_fract_y
_atom_site_fract_z
Y1 Y 0.000 0.203 0.000
Zn1 Zn 0.000 0.000 0.504
Ni1 Ni 0.000 0.500 0.257
Ir1 Ir 0.000 0.500 0.716
# size of the total moment = 0.0 μB per cell
# formation enthalpy at 0 K = -3.19 eV/f.u.
# crystal system = orthorhombic


# GGA-PBE LaHoCu2, relaxed
data_LaHoCu2
_chemical_formula_sum 'La2 Ho2 Cu4'
_cell_length_a 5.545
_cell_length_b 4.508
_cell_length_c 7.280
_cell_angle_alpha 90.00
_cell_angle_beta 92.63
_cell_angle_gamma 90.00
_space_group_name_H-M_alt 'P 1 21/m 1'
_space_group_IT_number 11
loop_
_space_group_symop_operation_xyz
'x,y,z'
'-x,-y,-z'
'-x,y+1/2,-z'
'x,-y+1/2,z'
loop_
_atom_site_label
_atom_site_type_symbol
_atom_site_fract_x
_atom_site_fract_y
_atom_site_fract_z
La1 La 0.133 0.250 0.186
Ho1 Ho 0.369 0.250 0.675
Cu1 Cu 0.133 0.750 0.472
Cu2 Cu 0.386 0.750 0.962
# size of the total moment = 0.0 μB per cell
# formation enthalpy at 0 K = -0.86 eV/f.u.
# crystal system = monoclinic


# GGA-PBE LiBeCuGe, relaxed
data_LiBeCuGe
_chemical_formula_sum 'Li4 Be4 Cu4 Ge4'
_cell_length_a 5.764
_cell_length_b 5.764
_cell_length_c 5.764
_cell_angle_alpha 90.00
_cell_angle_beta 90.00
_cell_angle_gamma 90.00
_space_group_name_H-M_alt 'F -4 3 m'
_space_group_IT_number 216
_space_group_name_Hall 'F -4 2 3'
loop_
_atom_site_label
_atom_site_type_symbol
_atom_site_fract_x
_atom_site_fract_y
_atom_site_fract_z
Li1 Li 0.000 0.000 0.000
Be1 Be 0.250 0.250 0.750
Cu1 Cu 0.000 0.000 0.500
Ge1 Ge 0.250 0.250 0.250
# uncorrected energy = -3.4929 eV/atom
# crystal system = cubic


# GGA-PBE PaSn, relaxed
data_PaSn
_chemical_formula_sum 'Pa1 Sn1'
_cell_length_a 3.2499
_cell_length_b 3.2499
_cell_length_c 5.4918
_cell_angle_alpha 90.00
_cell_angle_beta 90.00
_cell_angle_gamma 120.00
_space_group_name_H-M_alt 'P -6 m 2'
_space_group_IT_number 187
_space_group_name_Hall 'P -6 2'
loop_
_atom_site_label
_atom_site_type_symbol
_atom_site_fract_x
_atom_site_fract_y
_atom_site_fract_z
Pa1 Pa 0.0000 0.0000 0.0000
Sn1 Sn 0.6667 0.3333 0.5000
# uncorrected energy = -6.9551 eV/atom
# size of the total moment = 0.0 μB per cell
# crystal system = hexagonal


# GGA-PBE In2Co, relaxed
data_In2Co
_chemical_formula_sum 'In32 Co16'
_cell_length_a 5.268
_cell_length_b 9.460
_cell_length_c 17.841
_cell_angle_alpha 90.00
_cell_angle_beta 90.00
_cell_angle_gamma 90.00
_space_group_name_H-M_alt 'F d d d'
_space_group_IT_number 70
loop_
_space_group_symop_operation_xyz
'x,y,z'
'-x,-y,-z'
'-x+1/4,-y+1/4,z'
'x+1/4,y+1/4,-z'
'x,-y+1/4,-z+1/4'
'-x,y+1/4,z+1/4'
'-x+1/4,y,-z+1/4'
'x+1/4,-y,z+1/4'
'x,y+1/2,z+1/2'
'-x,-y+1/2,-z+1/2'
'-x+1/4,-y+3/4,z+1/2'
'x+1/4,y+3/4,-z+1/2'
'x,-y+3/4,-z+3/4'
'-x,y+3/4,z+3/4'
'-x+1/4,y+1/2,-z+3/4'
'x+1/4,-y+1/2,z+3/4'
'x+1/2,y,z+1/2'
'-x+1/2,-y,-z+1/2'
'-x+3/4,-y+1/4,z+1/2'
'x+3/4,y+1/4,-z+1/2'
'x+1/2,-y+1/4,-z+3/4'
'-x+1/2,y+1/4,z+3/4'
'-x+3/4,y,-z+3/4'
'x+3/4,-y,z+3/4'
'x+1/2,y+1/2,z'
'-x+1/2,-y+1/2,-z'
'-x+3/4,-y+3/4,z'
'x+3/4,y+3/4,-z'
'x+1/2,-y+3/4,-z+1/4'
'-x+1/2,y+3/4,z+1/4'
'-x+3/4,y+1/2,-z+1/4'
'x+3/4,-y+1/2,z+1/4'
loop_
_atom_site_label
_atom_site_type_symbol
_atom_site_fract_x
_atom_site_fract_y
_atom_site_fract_z
In1 In 0.125 0.125 0.037
In2 In 0.125 0.285 0.625
Co1 Co 0.125 0.125 0.497
# uncorrected energy = -4.1673 eV/atom
# size of the total moment = 0.6 μB per cell
# crystal system = orthorhombic


# GGA-PBE CsLaZnO3, relaxed
data_CsLaZnO3
_chemical_formula_sum 'Cs4 La4 Zn4 O12'
_cell_length_a 3.722
_cell_length_b 13.057
_cell_length_c 9.697
_cell_angle_alpha 90.00
_cell_angle_beta 90.00
_cell_angle_gamma 90.00
_space_group_name_H-M_alt 'C m c m'
_space_group_IT_number 63
_space_group_name_Hall '-C 2c 2'
loop_
_atom_site_label
_atom_site_type_symbol
_atom_site_fract_x
_atom_site_fract_y
_atom_site_fract_z
Cs1 Cs 0.000 0.234 0.250
La1 La 0.000 0.500 0.000
Zn1 Zn 0.000 0.043 0.750
O1 O 0.000 0.106 0.570
O2 O 0.000 0.461 0.750
# uncorrected energy = -5.8338 eV/atom
# size of the total moment = 0.0 μB per cell
# crystal system = orthorhombic


# GGA-PBE Ba2TmSe3, relaxed
data_Ba2TmSe3
_chemical_formula_sum 'Ba2 Tm1 Se3'
_cell_length_a 4.3813
_cell_length_b 4.3813
_cell_length_c 11.2118
_cell_angle_alpha 90.00
_cell_angle_beta 90.00
_cell_angle_gamma 120.00
_space_group_name_H-M_alt 'P -3 m 1'
_space_group_IT_number 164
_space_group_name_Hall '-P 3 2"'
loop_
_atom_site_label
_atom_site_type_symbol
_atom_site_fract_x
_atom_site_fract_y
_atom_site_fract_z
Ba1 Ba 0.3333 0.6667 0.1788
Tm1 Tm 0.0000 0.0000 0.5000
Se1 Se 0.0000 0.0000 0.0000
Se2 Se 0.3333 0.6667 0.6318
# uncorrected energy = -5.0078 eV/atom
# size of the total moment = 0.0 μB per cell
# crystal system = trigonal


# GGA-PBE ScPdW, relaxed
data_ScPdW
_chemical_formula_sum 'Sc4 Pd4 W4'
_cell_length_a 6.207
_cell_length_b 6.207
_cell_length_c 6.207
_cell_angle_alpha 90.00
_cell_angle_beta 90.00
_cell_angle_gamma 90.00
_space_group_name_H-M_alt 'F -4 3 m'
_space_group_IT_number 216
_space_group_name_Hall 'F -4 2 3'
loop_
_atom_site_label
_atom_site_type_symbol
_atom_site_fract_x
_atom_site_fract_y
_atom_site_fract_z
Sc1 Sc 0.000 0.000 0.000
Pd1 Pd 0.250 0.250 0.250
W1 W 0.000 0.000 0.500
# size of the total moment = 0.3 μB per cell
# formation enthalpy at 0 K = 1.46 eV/f.u.
# crystal system = cubic


# GGA-PBE LaPrI2BrN, relaxed
data_LaPrI2BrN
_chemical_formula_sum 'La4 Pr4 I8 Br4 N4'
_cell_length_a 20.448
_cell_length_b 4.153
_cell_length_c 12.697
_cell_angle_alpha 90.00
_cell_angle_beta 127.04
_cell_angle_gamma 90.00
_space_group_name_H-M_alt 'C 1 2/m 1'
_space_group_IT_number 12
loop_
_space_group_symop_operation_xyz
'x,y,z'
'-x,-y,-z'
'-x,y,-z'
'x,-y,z'
'x+1/2,y+1/2,z'
'-x+1/2,-y+1/2,-z'
'-x+1/2,y+1/2,-z'
'x+1/2,-y+1/2,z'
loop_
_atom_site_label
_atom_site_type_symbol
_atom_site_fract_x
_atom_site_fract_y
_atom_site_fract_z
La1 La 0.136 0.000 0.285
Pr1 Pr 0.071 0.500 0.962
I1 I 0.033 0.000 0.737
I2 I 0.221 0.000 0.131
Br1 Br 0.174 0.500 0.502
N1 N 0.074 0.500 0.152
# uncorrected energy = -5.4258 eV/atom
# size of the total moment = 0.0 μB per cell
# crystal system = monoclinic


# GGA-PBE MgCdTeSe, relaxed
data_MgCdTeSe
_chemical_formula_sum 'Mg4 Cd4 Te4 Se4'
_cell_length_a 8.918
_cell_length_b 8.925
_cell_length_c 7.701
_cell_angle_alpha 90.00
_cell_angle_beta 125.27
_cell_angle_gamma 90.00
_space_group_name_H-M_alt 'C 1 c 1'
_space_group_IT_number 9
loop_
_space_group_symop_operation_xyz
'x,y,z'
'x,-y,z+1/2'
'x+1/2,y+1/2,z'
'x+1/2,-y+1/2,z+1/2'
loop_
_atom_site_label
_atom_site_type_symbol
_atom_site_fract_x
_atom_site_fract_y
_atom_site_fract_z
Mg1 Mg 0.000 0.110 0.000
Cd1 Cd 0.024 0.365 0.500
Te1 Te 0.384 0.130 0.250
Se1 Se 0.394 0.380 0.750
# uncorrected energy = -3.0682 eV/atom
# crystal system = monoclinic


# GGA-PBE ScCdGaCu, relaxed
data_ScCdGaCu
_chemical_formula_sum 'Sc4 Cd4 Ga4 Cu4'
_cell_length_a 6.531
_cell_length_b 6.531
_cell_length_c 6.531
_cell_angle_alpha 90.00
_cell_angle_beta 90.00
_cell_angle_gamma 90.00
_space_group_name_H-M_alt 'F -4 3 m'
_space_group_IT_number 216
_space_group_name_Hall 'F -4 2 3'
loop_
_atom_site_label
_atom_site_type_symbol
_atom_site_fract_x
_atom_site_fract_y
_atom_site_fract_z
Sc1 Sc 0.000 0.000 0.000
Cd1 Cd 0.250 0.250 0.250
Ga1 Ga 0.000 0.000 0.500
Cu1 Cu 0.250 0.250 0.750
# uncorrected energy = -3.6847 eV/atom
# size of the total moment = 0.0 μB per cell
# crystal system = cubic


# GGA-PBE LiSiNiMo, relaxed
data_LiSiNiMo
_chemical_formula_sum 'Li4 Si4 Ni4 Mo4'
_cell_length_a 5.838
_cell_length_b 5.838
_cell_length_c 5.838
_cell_angle_alpha 90.00
_cell_angle_beta 90.00
_cell_angle_gamma 90.00
_space_group_name_H-M_alt 'F -4 3 m'
_space_group_IT_number 216
_space_group_name_Hall 'F -4 2 3'
loop_
_atom_site_label
_atom_site_type_symbol
_atom_site_fract_x
_atom_site_fract_y
_atom_site_fract_z
Li1 Li 0.000 0.000 0.000
Si1 Si 0.250 0.250 0.250
Ni1 Ni 0.000 0.000 0.500
Mo1 Mo 0.250 0.250 0.750
# uncorrected energy = -5.8588 eV/atom
# size of the total moment = 8.2 μB per cell
# crystal system = cubic